An optimized crystal structure of ReSi2BiOs, computed with GGA-PBE.

a b c (Å): 4.5810 5.4563 4.5810
angles (deg): 90.00 90.00 90.00
Closest atoms and distances in Å follow each position.
Element x y z (fractional)
Si  0.0000  0.0000  0.5000  2 Re 2.29
Si  0.5000  0.0000  0.0000  2 Re 2.29
Re  0.0000  0.0000  0.0000  4 Si 2.29
Os  0.5000  0.5000  0.5000  4 Bi 3.24, 8 Si 3.56
Bi  0.0000  0.5000  0.0000  2 Re 2.73

Properties
- N(E_F): 3.1 states/eV/f.u.
- Formation energy (no corrections): 32.67 kcal/mol of atoms
- Mass density: 9.3 g/cm³
- E_tot: -0.4604 Ry per atom
- Total magnetization: 2.2 μB/f.u.

An optimized crystal structure of Sr2ReBiOs, computed with GGA-PBE.

a b c (Å): 5.8287 5.1175 5.8287
angles (deg): 90.00 90.00 90.00
Closest atoms and distances in Å follow each position.
Element x y z (fractional)
Sr  0.0000  0.0000  0.5000  2 Os 2.91
Sr  0.5000  0.0000  0.0000  2 Os 2.91
Os  0.0000  0.0000  0.0000  2 Bi 2.56
Re  0.5000  0.5000  0.5000  8 Sr 3.88, 4 Bi 4.12
Bi  0.0000  0.5000  0.0000  2 Os 2.56

Properties
- N(E_F): 5.2 states/eV/f.u.
- Calculated formation energy: 1.295 eV/atom
- Mass density: 7.3 g/cm³
- E_tot: -0.3593 Ry per atom
- Total magnetization: 4.0 μB/f.u.